[1]
First-principles (PBE) data for crystalline AcDyAlHg at its relaxed geometry, as listed in the Alexandria database.

Computed properties:
DOS(E_F) = 5.09 states/eV/f.u.
formation energy = -317 meV/atom
ρ = 8.9 g/cm3
size of the total moment = 0.0 μB/f.u.

```
data_AcDyAlHg
_chemical_formula_sum 'Ac4 Dy4 Al4 Hg4'
_symmetry_space_group_name_H-M 'F -4 3 m'
_symmetry_Int_Tables_number 216
_symmetry_space_group_name_Hall 'F -4 2 3'
_cell_length_a 7.7359
_cell_length_b 7.7359
_cell_length_c 7.7359
_cell_angle_alpha 90.00
_cell_angle_beta 90.00
_cell_angle_gamma 90.00
loop_
_atom_site_label
_atom_site_type_symbol
_atom_site_fract_x
_atom_site_fract_y
_atom_site_fract_z
_atom_site_occupancy
Ac1 Ac 0.0000 0.0000 0.0000 1
Dy1 Dy 0.0000 0.0000 0.5000 1
Al1 Al 0.2500 0.2500 0.2500 1
Hg1 Hg 0.2500 0.2500 0.7500 1
```

[2]
First-principles (PBE) data for crystalline AcDyAlIn at its relaxed geometry, as listed in the Alexandria database.

Computed properties:
DOS(E_F) = 1.10 states/eV/f.u.
formation energy = -322 meV/atom
ρ = 7.6 g/cm3
size of the total moment = 0.0 μB/f.u.

```
data_AcDyAlIn
_chemical_formula_sum 'Ac4 Dy4 Al4 In4'
_symmetry_space_group_name_H-M 'F -4 3 m'
_symmetry_Int_Tables_number 216
_symmetry_space_group_name_Hall 'F -4 2 3'
_cell_length_a 7.7408
_cell_length_b 7.7408
_cell_length_c 7.7408
_cell_angle_alpha 90.00
_cell_angle_beta 90.00
_cell_angle_gamma 90.00
loop_
_atom_site_label
_atom_site_type_symbol
_atom_site_fract_x
_atom_site_fract_y
_atom_site_fract_z
_atom_site_occupancy
Ac1 Ac 0.0000 0.0000 0.0000 1
Dy1 Dy 0.0000 0.0000 0.5000 1
Al1 Al 0.2500 0.2500 0.2500 1
In1 In 0.2500 0.2500 0.7500 1
```

[3]
First-principles (PBE) data for crystalline AcDyLuAl at its relaxed geometry, as listed in the Alexandria database.

Computed properties:
DOS(E_F) = 6.01 states/eV/f.u.
formation energy = -7 meV/atom
ρ = 8.3 g/cm3
size of the total moment = 0.7 μB/f.u.

```
data_AcDyLuAl
_chemical_formula_sum 'Ac4 Dy4 Lu4 Al4'
_symmetry_space_group_name_H-M 'F -4 3 m'
_symmetry_Int_Tables_number 216
_symmetry_space_group_name_Hall 'F -4 2 3'
_cell_length_a 7.8085
_cell_length_b 7.8085
_cell_length_c 7.8085
_cell_angle_alpha 90.00
_cell_angle_beta 90.00
_cell_angle_gamma 90.00
loop_
_atom_site_label
_atom_site_type_symbol
_atom_site_fract_x
_atom_site_fract_y
_atom_site_fract_z
_atom_site_occupancy
Ac1 Ac 0.0000 0.0000 0.0000 1
Dy1 Dy 0.0000 0.0000 0.5000 1
Lu1 Lu 0.2500 0.2500 0.7500 1
Al1 Al 0.2500 0.2500 0.2500 1
```

[4]
First-principles (PBE) data for crystalline AcNdDyAl at its relaxed geometry, as listed in the Alexandria database.

Computed properties:
DOS(E_F) = 6.95 states/eV/f.u.
formation energy = 63 meV/atom
ρ = 7.6 g/cm3
size of the total moment = 0.0 μB/f.u.

```
data_AcNdDyAl
_chemical_formula_sum 'Ac4 Nd4 Dy4 Al4'
_symmetry_space_group_name_H-M 'F -4 3 m'
_symmetry_Int_Tables_number 216
_symmetry_space_group_name_Hall 'F -4 2 3'
_cell_length_a 7.8792
_cell_length_b 7.8792
_cell_length_c 7.8792
_cell_angle_alpha 90.00
_cell_angle_beta 90.00
_cell_angle_gamma 90.00
loop_
_atom_site_label
_atom_site_type_symbol
_atom_site_fract_x
_atom_site_fract_y
_atom_site_fract_z
_atom_site_occupancy
Ac1 Ac 0.0000 0.0000 0.0000 1
Nd1 Nd 0.2500 0.2500 0.2500 1
Dy1 Dy 0.2500 0.2500 0.7500 1
Al1 Al 0.0000 0.0000 0.5000 1
```

[5]
First-principles (PBE) data for crystalline Ac3DyAl2O9 at its relaxed geometry, as listed in the Alexandria database.

Computed properties:
DOS(E_F) = 0.00 states/eV/f.u.
ρ = 8.7 g/cm3
ΔE_f (raw) = -3.2545 eV/atom
size of the total moment = 0.0 μB/f.u.

```
data_Ac3DyAl2O9
_chemical_formula_sum 'Ac3 Dy1 Al2 O9'
_symmetry_space_group_name_H-M 'P -3 m 1'
_symmetry_Int_Tables_number 164
_symmetry_space_group_name_Hall '-P 3 2"'
_cell_length_a 5.6634
_cell_length_b 5.6634
_cell_length_c 7.1290
_cell_angle_alpha 90.00
_cell_angle_beta 90.00
_cell_angle_gamma 120.00
loop_
_atom_site_label
_atom_site_type_symbol
_atom_site_fract_x
_atom_site_fract_y
_atom_site_fract_z
_atom_site_occupancy
Ac1 Ac 0.0000 0.0000 0.0000 1
Ac2 Ac 0.3333 0.6667 0.6976 1
Dy1 Dy 0.0000 0.0000 0.5000 1
Al1 Al 0.3333 0.6667 0.1639 1
O1 O 0.0000 0.5000 0.0000 1
O2 O 0.1751 0.3502 0.3092 1
```

[6]
First-principles (PBE) data for crystalline AcDyAlPb at its relaxed geometry, as listed in the Alexandria database.

Computed properties:
DOS(E_F) = 2.90 states/eV/f.u.
formation energy = -287 meV/atom
ρ = 8.6 g/cm3
size of the total moment = 0.0 μB/f.u.

```
data_AcDyAlPb
_chemical_formula_sum 'Ac4 Dy4 Al4 Pb4'
_symmetry_space_group_name_H-M 'F -4 3 m'
_symmetry_Int_Tables_number 216
_symmetry_space_group_name_Hall 'F -4 2 3'
_cell_length_a 7.8365
_cell_length_b 7.8365
_cell_length_c 7.8365
_cell_angle_alpha 90.00
_cell_angle_beta 90.00
_cell_angle_gamma 90.00
loop_
_atom_site_label
_atom_site_type_symbol
_atom_site_fract_x
_atom_site_fract_y
_atom_site_fract_z
_atom_site_occupancy
Ac1 Ac 0.0000 0.0000 0.0000 1
Dy1 Dy 0.0000 0.0000 0.5000 1
Al1 Al 0.2500 0.2500 0.2500 1
Pb1 Pb 0.2500 0.2500 0.7500 1
```

[7]
First-principles (PBE) data for crystalline Ac2DyAl4Pd3 at its relaxed geometry, as listed in the Alexandria database.

Computed properties:
DOS(E_F) = 11.41 states/eV/f.u.
formation energy = -648 meV/atom
ρ = 7.6 g/cm3
size of the total moment = 0.0 μB/f.u.

```
data_Ac2DyAl4Pd3
_chemical_formula_sum 'Ac2 Dy1 Al4 Pd3'
_symmetry_space_group_name_H-M 'P -4 m 2'
_symmetry_Int_Tables_number 115
_symmetry_space_group_name_Hall 'P -4 -2'
_cell_length_a 4.3971
_cell_length_b 4.3971
_cell_length_c 11.8570
_cell_angle_alpha 90.00
_cell_angle_beta 90.00
_cell_angle_gamma 90.00
loop_
_atom_site_label
_atom_site_type_symbol
_atom_site_fract_x
_atom_site_fract_y
_atom_site_fract_z
_atom_site_occupancy
Ac1 Ac 0.0000 0.5000 0.2282 1
Dy1 Dy 0.0000 0.0000 0.5000 1
Al1 Al 0.0000 0.0000 0.0000 1
Al2 Al 0.0000 0.5000 0.6661 1
Al3 Al 0.5000 0.5000 0.0000 1
Pd1 Pd 0.0000 0.5000 0.8830 1
Pd2 Pd 0.5000 0.5000 0.5000 1
```

[8]
First-principles (PBE) data for crystalline AcDyAl2Pd5 at its relaxed geometry, as listed in the Alexandria database.

Computed properties:
DOS(E_F) = 5.89 states/eV/f.u.
formation energy = -780 meV/atom
ρ = 9.2 g/cm3
size of the total moment = 0.0 μB/f.u.

```
data_AcDyAl2Pd5
_chemical_formula_sum 'Ac1 Dy1 Al2 Pd5'
_symmetry_space_group_name_H-M 'P 4/m m m'
_symmetry_Int_Tables_number 123
_symmetry_space_group_name_Hall '-P 4 2'
_cell_length_a 4.3669
_cell_length_b 4.3669
_cell_length_c 9.2489
_cell_angle_alpha 90.00
_cell_angle_beta 90.00
_cell_angle_gamma 90.00
loop_
_atom_site_label
_atom_site_type_symbol
_atom_site_fract_x
_atom_site_fract_y
_atom_site_fract_z
_atom_site_occupancy
Ac1 Ac 0.0000 0.0000 0.0000 1
Dy1 Dy 0.0000 0.0000 0.5000 1
Al1 Al 0.5000 0.5000 0.3602 1
Pd1 Pd 0.0000 0.5000 0.2368 1
Pd2 Pd 0.5000 0.5000 0.0000 1
```

[9]
First-principles (PBE) data for crystalline AcDy2AlPd4 at its relaxed geometry, as listed in the Alexandria database.

Computed properties:
DOS(E_F) = 6.43 states/eV/f.u.
formation energy = -805 meV/atom
ρ = 9.5 g/cm3
size of the total moment = 0.0 μB/f.u.

```
data_AcDy2AlPd4
_chemical_formula_sum 'Ac3 Dy6 Al3 Pd12'
_symmetry_space_group_name_H-M 'R -3 m'
_symmetry_Int_Tables_number 166
_symmetry_space_group_name_Hall '-R 3 2"'
_cell_length_a 4.7734
_cell_length_b 4.7734
_cell_length_c 26.8119
_cell_angle_alpha 90.00
_cell_angle_beta 90.00
_cell_angle_gamma 120.00
loop_
_atom_site_label
_atom_site_type_symbol
_atom_site_fract_x
_atom_site_fract_y
_atom_site_fract_z
_atom_site_occupancy
Ac1 Ac 0.0000 0.0000 0.0000 1
Dy1 Dy 0.0000 0.0000 0.2366 1
Al1 Al 0.0000 0.0000 0.5000 1
Pd1 Pd 0.0000 0.0000 0.1331 1
Pd2 Pd 0.0000 0.0000 0.4009 1
```

[10]
First-principles (PBE) data for crystalline Ac2DyAl12Pt3 at its relaxed geometry, as listed in the Alexandria database.

Computed properties:
DOS(E_F) = 10.30 states/eV/f.u.
formation energy = -128 meV/atom
ρ = 5.7 g/cm3
size of the total moment = 0.0 μB/f.u.

```
data_Ac2DyAl12Pt3
_chemical_formula_sum 'Ac6 Dy3 Al36 Pt9'
_symmetry_space_group_name_H-M 'R -3 m'
_symmetry_Int_Tables_number 166
_symmetry_space_group_name_Hall '-R 3 2"'
_cell_length_a 8.8585
_cell_length_b 8.8585
_cell_length_c 19.6738
_cell_angle_alpha 90.00
_cell_angle_beta 90.00
_cell_angle_gamma 120.00
loop_
_atom_site_label
_atom_site_type_symbol
_atom_site_fract_x
_atom_site_fract_y
_atom_site_fract_z
_atom_site_occupancy
Ac1 Ac 0.0000 0.0000 0.0851 1
Dy1 Dy 0.0000 0.0000 0.5000 1
Al1 Al 0.0607 0.5303 0.3106 1
Al2 Al 0.0830 0.5415 0.8789 1
Pt1 Pt 0.0000 0.5000 0.0000 1
```

[11]
First-principles (PBE) data for crystalline AcDyAlRh at its relaxed geometry, as listed in the Alexandria database.

Computed properties:
DOS(E_F) = 3.50 states/eV/f.u.
formation energy = -359 meV/atom
ρ = 8.6 g/cm3
size of the total moment = 0.0 μB/f.u.

```
data_AcDyAlRh
_chemical_formula_sum 'Ac4 Dy4 Al4 Rh4'
_symmetry_space_group_name_H-M 'F -4 3 m'
_symmetry_Int_Tables_number 216
_symmetry_space_group_name_Hall 'F -4 2 3'
_cell_length_a 7.3817
_cell_length_b 7.3817
_cell_length_c 7.3817
_cell_angle_alpha 90.00
_cell_angle_beta 90.00
_cell_angle_gamma 90.00
loop_
_atom_site_label
_atom_site_type_symbol
_atom_site_fract_x
_atom_site_fract_y
_atom_site_fract_z
_atom_site_occupancy
Ac1 Ac 0.0000 0.0000 0.0000 1
Dy1 Dy 0.0000 0.0000 0.5000 1
Al1 Al 0.2500 0.2500 0.7500 1
Rh1 Rh 0.2500 0.2500 0.2500 1
```

[12]
First-principles (PBE) data for crystalline Ac2DyAlS6 at its relaxed geometry, as listed in the Alexandria database.

Computed properties:
DOS(E_F) = 0.00 states/eV/f.u.
ρ = 5.8 g/cm3
ΔE_f (raw) = -1.8299 eV/atom
size of the total moment = 0.0 μB/f.u.

```
data_Ac2DyAlS6
_chemical_formula_sum 'Ac4 Dy2 Al2 S12'
_symmetry_space_group_name_H-M 'C 1 2/m 1'
_symmetry_Int_Tables_number 12
_symmetry_space_group_name_Hall '-C 2y'
_cell_length_a 11.9596
_cell_length_b 6.8763
_cell_length_c 7.0672
_cell_angle_alpha 90.00
_cell_angle_beta 123.87
_cell_angle_gamma 90.00
loop_
_atom_site_label
_atom_site_type_symbol
_atom_site_fract_x
_atom_site_fract_y
_atom_site_fract_z
_atom_site_occupancy
Ac1 Ac 0.2439 0.0000 0.2231 1
Dy1 Dy 0.0000 0.0000 0.5000 1
Al1 Al 0.0000 0.5000 0.0000 1
S1 S 0.0581 0.2599 0.8238 1
S2 S 0.2359 0.5000 0.3374 1
```